No. 1
Material: ErMgTlS3
Method: DFT, PBE
State: optimized geometry

The calculation puts the distance to the lowest polymorph of the same formula at 7.8 meV/atom. Its symmetry is Cmcm (63).

Cell and atoms, written as POSCAR:
```
ErMgTlS3
1.0
2.022 -7.129 0.000
2.022 7.129 0.000
0.000 0.000 10.699
Er Mg Tl S
2 2 2 6
Direct
0.000 0.000 0.000
0.000 0.000 0.500
0.462 0.538 0.750
0.538 0.462 0.250
0.254 0.746 0.250
0.746 0.254 0.750
0.060 0.940 0.750
0.379 0.621 0.556
0.379 0.621 0.944
0.621 0.379 0.056
0.621 0.379 0.444
0.940 0.060 0.250
```

---

No. 2
Material: CuAgB
Method: DFT, PBE
State: optimized geometry

The calculation puts the distance to the lowest polymorph of the same formula at 0.0 meV/atom. Its symmetry is F-43m (216).

Cell and atoms, written as POSCAR:
```
CuAgB
1.0
0.000 2.677 2.677
2.677 0.000 2.677
2.677 2.677 0.000
Cu Ag B
1 1 1
Direct
0.000 0.000 0.000
0.500 0.500 0.500
0.750 0.750 0.750
```

---

No. 3
Material: NdScFe
Method: DFT, PBE
State: optimized geometry

The calculation puts the distance to the lowest polymorph of the same formula at 747.2 meV/atom. Its symmetry is F-43m (216). The energy of formation from the pure elements comes out at 0.988 eV per atom.

Cell and atoms, written as POSCAR:
```
NdScFe
1.0
0.000 3.295 3.295
3.295 0.000 3.295
3.295 3.295 0.000
Nd Sc Fe
1 1 1
Direct
0.000 0.000 0.000
0.250 0.250 0.250
0.750 0.750 0.750
```

---

No. 4
Material: TlSbOs
Method: DFT, PBE
State: optimized geometry

The calculation puts the distance to the lowest polymorph of the same formula at 0.0 meV/atom. Its symmetry is F-43m (216).

Cell and atoms, written as POSCAR:
```
TlSbOs
1.0
0.000 3.254 3.254
3.254 0.000 3.254
3.254 3.254 0.000
Tl Sb Os
1 1 1
Direct
0.000 0.000 0.000
0.500 0.500 0.500
0.750 0.750 0.750
```

---

Among the records above, which one has the highest distance to the lowest polymorph of the same formula?
NdScFe

---

The highest distance to the lowest polymorph of the same formula belongs to which entry?
NdScFe

---

Look up the distance to the lowest polymorph of the same formula of the fourth one.
0.0 meV/atom

---

Look up the distance to the lowest polymorph of the same formula of the second one.
0.0 meV/atom